# 1
Density functional theory data (GGA-PBE) for crystalline Tl5Sn4Hg at its relaxed geometry.

## Properties
Final energy in eV per formula unit: -27.8

Unit cell a=3.298 b=3.298 c=27.040 alpha=90.00 beta=90.00 gamma=90.00
Space group P4/mmm (No. 123)
Symmetry-distinct sites (fractional):
Tl 0.000 0.000 0.000 x1
Tl 0.000 0.000 0.202 x2
Tl 0.000 0.000 0.402 x2
Sn 0.500 0.500 0.101 x2
Sn 0.500 0.500 0.304 x2
Hg 0.500 0.500 0.500 x1



# 2
Density functional theory data (GGA-PBE) for crystalline SbPbSeN2 at its relaxed geometry.

## Properties
E above lowest polymorph in kJ/mol of atoms: 0.00
Formation energy without anion corrections in eV/atom: 0.966

Unit cell a=4.282 b=4.282 c=6.118 alpha=90.00 beta=90.00 gamma=90.00
Space group P4/mmm (No. 123)
Symmetry-distinct sites (fractional):
Sb 0.000 0.000 0.000 x1
Pb 0.500 0.500 0.500 x1
Se 0.000 0.000 0.500 x1
N 0.000 0.500 0.000 x2



# 3
Density functional theory data (GGA-PBE) for crystalline Cs2UP2O10 at its relaxed geometry.

## Properties
Formation energy without anion corrections in eV/atom: -2.253

Unit cell a=6.158 b=9.540 c=10.144 alpha=90.00 beta=96.99 gamma=90.00
Space group P2_1/c (No. 14)
Symmetry-distinct sites (fractional):
Cs 0.014 0.167 0.357 x4
U 0.500 0.000 0.000 x2
P 0.494 0.166 0.676 x4
O 0.210 0.524 0.445 x4
O 0.285 0.625 0.868 x4
O 0.313 0.068 0.613 x4
O 0.430 0.179 0.137 x4
O 0.490 0.658 0.669 x4



# 4
Density functional theory data (GGA-PBE) for crystalline LiLa2As4Rh3 at its relaxed geometry.

## Properties
Final energy in eV per formula unit: -62.2

Unit cell a=4.386 b=4.386 c=9.949 alpha=90.00 beta=90.00 gamma=90.00
Space group P-4m2 (No. 115)
Symmetry-distinct sites (fractional):
Li 0.000 0.000 0.000 x1
La 0.000 0.500 0.748 x2
As 0.000 0.000 0.500 x1
As 0.000 0.500 0.134 x2
As 0.500 0.500 0.500 x1
Rh 0.000 0.500 0.384 x2
Rh 0.500 0.500 0.000 x1



# 5
Density functional theory data (GGA-PBE) for crystalline LaZr2Tl at its relaxed geometry.

## Properties
E above lowest polymorph in kJ/mol of atoms: 8.76

Unit cell a=11.533 b=3.404 c=5.538 alpha=90.00 beta=109.11 gamma=90.00
Space group Cm (No. 8)
Symmetry-distinct sites (fractional):
La 0.000 0.000 0.000 x2
Zr 0.268 0.500 0.208 x2
Zr 0.498 0.000 0.508 x2
Tl 0.240 0.000 0.665 x2



# 6
Density functional theory data (GGA-PBE) for crystalline LaSi3Tc2 at its relaxed geometry.

## Properties
Formation energy without anion corrections in eV/atom: -0.584

Unit cell a=9.817 b=7.439 c=5.741 alpha=90.00 beta=90.00 gamma=90.00
Space group Cmcm (No. 63)
Symmetry-distinct sites (fractional):
La 0.000 0.163 0.250 x4
Si 0.000 0.422 0.750 x4
Si 0.183 0.210 0.750 x8
Tc 0.197 0.500 0.000 x8



# 7
Density functional theory data (GGA-PBE) for crystalline Al2HgSe at its relaxed geometry.

## Properties
Formation energy without anion corrections in eV/atom: 0.029

Unit cell a=7.772 b=7.836 c=2.872 alpha=90.00 beta=90.31 gamma=90.00
Space group C2/m (No. 12)
Symmetry-distinct sites (fractional):
Al 0.250 0.250 0.000 x4
Hg 0.000 0.000 0.000 x2
Se 0.000 0.500 0.000 x2



# 8
Density functional theory data (GGA-PBE) for crystalline LiAcPb at its relaxed geometry.

## Properties
E above lowest polymorph in kJ/mol of atoms: 7.68

Unit cell a=4.9411 b=4.9411 c=4.3202 alpha=90.00 beta=90.00 gamma=120.00
Space group P-6m2 (No. 187)
Symmetry-distinct sites (fractional):
Li 0.0000 0.0000 0.0000 x1
Ac 0.3333 0.6667 0.5000 x1
Pb 0.6667 0.3333 0.0000 x1



# 9
Density functional theory data (GGA-PBE) for crystalline GdPaTe2 at its relaxed geometry.

## Properties
E above lowest polymorph in kJ/mol of atoms: 4.76
Formation energy without anion corrections in eV/atom: -0.892

Unit cell a=7.552 b=7.552 c=7.552 alpha=90.00 beta=90.00 gamma=90.00
Space group Fm-3m (No. 225)
Symmetry-distinct sites (fractional):
Gd 0.000 0.000 0.000 x4
Pa 0.000 0.000 0.500 x4
Te 0.250 0.250 0.250 x8



# 10
Density functional theory data (GGA-PBE) for crystalline K2BaSr at its relaxed geometry.

## Properties
Final energy in eV per formula unit: -5.2

Unit cell a=10.193 b=10.193 c=10.193 alpha=90.00 beta=90.00 gamma=90.00
Space group F-43m (No. 216)
Symmetry-distinct sites (fractional):
K 0.000 0.000 0.000 x4
K 0.250 0.250 0.250 x4
Ba 0.250 0.250 0.750 x4
Sr 0.000 0.000 0.500 x4



# 11
Density functional theory data (GGA-PBE) for crystalline TbPm6Tl3 at its relaxed geometry.

## Properties
Final energy in eV per formula unit: -41.9

Unit cell a=9.281 b=5.763 c=12.703 alpha=90.00 beta=110.17 gamma=90.00
Space group P2_1/m (No. 11)
Symmetry-distinct sites (fractional):
Tb 0.010 0.250 0.322 x2
Pm 0.114 0.750 0.983 x2
Pm 0.160 0.250 0.864 x2
Pm 0.263 0.250 0.621 x2
Pm 0.276 0.750 0.284 x2
Pm 0.396 0.750 0.835 x2
Pm 0.493 0.250 0.421 x2
Tl 0.123 0.750 0.474 x2
Tl 0.237 0.250 0.156 x2
Tl 0.468 0.750 0.111 x2



# 12
Density functional theory data (GGA-PBE) for crystalline K2LiCuBr5 at its relaxed geometry.

## Properties
Formation energy without anion corrections in eV/atom: -1.177

Unit cell a=4.131 b=19.942 c=13.450 alpha=90.00 beta=90.00 gamma=90.00
Space group Cmc2_1 (No. 36)
Symmetry-distinct sites (fractional):
K 0.000 0.127 0.000 x4
K 0.000 0.133 0.367 x4
Li 0.000 0.217 0.722 x4
Cu 0.000 0.438 0.108 x4
Br 0.000 0.037 0.697 x4
Br 0.000 0.300 0.342 x4
Br 0.000 0.321 0.063 x4
Br 0.000 0.341 0.683 x4
Br 0.000 0.494 0.949 x4



Please write out number 6 again, unchanged.
Density functional theory data (GGA-PBE) for crystalline LaSi3Tc2 at its relaxed geometry.

## Properties
Formation energy without anion corrections in eV/atom: -0.584

Unit cell a=9.817 b=7.439 c=5.741 alpha=90.00 beta=90.00 gamma=90.00
Space group Cmcm (No. 63)
Symmetry-distinct sites (fractional):
La 0.000 0.163 0.250 x4
Si 0.000 0.422 0.750 x4
Si 0.183 0.210 0.750 x8
Tc 0.197 0.500 0.000 x8